Compound: TaInCoRe
Source: OQMD via LeMat-Bulk
Functional: PBE-GGA
Structure: relaxed

Computed properties:
As for the space-group type: F-43m (216). For the polymorph energy (0 for the lowest one), the calculation gives 0 meV per atom.

Cell lengths 4.4725, 4.4725, 4.4725 Å; angles 60.00, 60.00, 60.00 degrees
Closest atoms and distances in Å follow each position.
Positions (direct):
Ta1 0.0000 0.0000 0.0000  4 Re 2.74, 4 Co 2.74
In1 0.5000 0.5000 0.5000  4 Co 2.74, 4 Re 2.74
Co1 0.7500 0.7500 0.7500  4 Ta 2.74, 4 In 2.74
Re1 0.2500 0.2500 0.2500  4 Ta 2.74, 4 In 2.74

Compound: YInCoRe
Source: OQMD via LeMat-Bulk
Functional: PBE-GGA
Structure: relaxed

Computed properties:
As for the space-group type: F-43m (216). For the polymorph energy (0 for the lowest one), the calculation gives 0 meV per atom.

Cell lengths 4.6747, 4.6747, 4.6747 Å; angles 60.00, 60.00, 60.00 degrees
Closest atoms and distances in Å follow each position.
Positions (direct):
Y1 0.0000 0.0000 0.0000  4 Co 2.86, 4 Re 2.86
In1 0.5000 0.5000 0.5000  4 Re 2.86, 4 Co 2.86
Co1 0.7500 0.7500 0.7500  4 In 2.86, 4 Y 2.86
Re1 0.2500 0.2500 0.2500  4 In 2.86, 4 Y 2.86

Compound: YInCoRe
Source: OQMD via LeMat-Bulk
Functional: PBE-GGA
Structure: relaxed

Computed properties:
As for the space-group type: F-43m (216). For the polymorph energy (0 for the lowest one), the calculation gives 108 meV per atom.

Cell lengths 4.7281, 4.7281, 4.7281 Å; angles 60.00, 60.00, 60.00 degrees
Closest atoms and distances in Å follow each position.
Positions (direct):
Y1 0.0000 0.0000 0.0000  4 In 2.90, 4 Re 2.90
In1 0.2500 0.2500 0.2500  4 Co 2.90, 4 Y 2.90
Co1 0.5000 0.5000 0.5000  4 Re 2.90, 4 In 2.90
Re1 0.7500 0.7500 0.7500  4 Co 2.90, 4 Y 2.90

Compound: ZnInCoRe
Source: OQMD via LeMat-Bulk
Functional: PBE-GGA
Structure: relaxed

Computed properties:
As for the space-group type: F-43m (216). For the polymorph energy (0 for the lowest one), the calculation gives 0 meV per atom.

Cell lengths 4.3914, 4.3914, 4.3914 Å; angles 60.00, 60.00, 60.00 degrees
Closest atoms and distances in Å follow each position.
Positions (direct):
Zn1 0.0000 0.0000 0.0000  4 In 2.69, 4 Re 2.69
In1 0.2500 0.2500 0.2500  4 Co 2.69, 4 Zn 2.69
Co1 0.5000 0.5000 0.5000  4 In 2.69, 4 Re 2.69
Re1 0.7500 0.7500 0.7500  4 Co 2.69, 4 Zn 2.69

Compound: ZrInCoRe
Source: OQMD via LeMat-Bulk
Functional: PBE-GGA
Structure: relaxed

Computed properties:
As for the space-group type: F-43m (216). For the polymorph energy (0 for the lowest one), the calculation gives 0 meV per atom.

Cell lengths 4.5705, 4.5705, 4.5705 Å; angles 60.00, 60.00, 60.00 degrees
Closest atoms and distances in Å follow each position.
Positions (direct):
Zr1 0.0000 0.0000 0.0000  4 Co 2.80, 4 Re 2.80
In1 0.5000 0.5000 0.5000  4 Co 2.80, 4 Re 2.80
Co1 0.7500 0.7500 0.7500  4 Zr 2.80, 4 In 2.80
Re1 0.2500 0.2500 0.2500  4 Zr 2.80, 4 In 2.80

Compound: InCo3S5
Source: OQMD via LeMat-Bulk
Functional: PBE-GGA
Structure: relaxed

Computed properties:
As for the space-group type: P6/mmm (191).

Cell lengths 5.3775, 5.3775, 6.5567 Å; angles 90.00, 90.00, 120.00 degrees
Closest atoms and distances in Å follow each position.
Positions (direct):
In1 0.0000 0.0000 0.0000  14 S 3.28-3.55
Co1 0.0000 0.5000 0.5000  4 S 2.21
Co2 0.5000 0.0000 0.5000  4 S 2.21
Co3 0.5000 0.5000 0.5000  4 S 2.21
S1 0.0000 0.0000 0.5000  6 Co 2.69
S2 0.3333 0.6667 0.2612  3 Co 2.21
S3 0.3333 0.6667 0.7388  3 Co 2.21
S4 0.6667 0.3333 0.2612  3 Co 2.21
S5 0.6667 0.3333 0.7388  3 Co 2.21

In the order shown, the computed electronic total energy values come out to -33.7; -27.1; -26.7; -21.7; -30.3; -46.4 eV per cell.